DFT (GGA-PBE) results for a geometry-optimized Tl2C structure.

Output
Calculated formation energy   1.321 eV per atom
Density of states at the Fermi level   4.506 states/eV per cell
SG   Cmcm (63)
Polymorph energy (0 for the lowest one)   183.6 kJ/mol of formula units

Cell: 3.788 14.622 4.973 Å, 90.00 90.00 90.00°
Atoms (fractional coordinates):
Tl: 0.000 0.067 0.250
Tl: 0.000 0.300 0.250
Tl: 0.000 0.700 0.750
Tl: 0.000 0.933 0.750
Tl: 0.500 0.200 0.750
Tl: 0.500 0.433 0.750
Tl: 0.500 0.567 0.250
Tl: 0.500 0.800 0.250
C: 0.000 0.325 0.750
C: 0.000 0.675 0.250
C: 0.500 0.175 0.250
C: 0.500 0.825 0.750